DFT (PBE) results for an optimized crystal structure of Sm6Dy2Tm3.

## Properties
- DFT formation energy (eV per formula unit) = 0.191
- polymorph energy (0 for the lowest one) (meV/atom) = 0
- calculated volume (Å³/atom) = 32.1
- raw total energy (eV/cell) = -50.74
- theoretical density (g/cm³) = 8.1

Cell: 3.5762 3.5762 31.9914 Å, 86.80 86.80 60.00°
With the nearest neighbours (Å) after each atom.
Positions (direct):
Sm 0.9099 0.9099 0.2704  3 Tm 3.54, 3 Dy 3.57, 6 Sm 3.58
Sm 0.0901 0.0901 0.7296  3 Tm 3.54, 3 Dy 3.57, 6 Sm 3.58
Sm 0.8178 0.8178 0.5467  9 Sm 3.58-3.63, 3 Dy 3.58
Sm 0.1822 0.1822 0.4533  9 Sm 3.58-3.63, 3 Dy 3.58
Sm 0.6366 0.6366 0.0901  6 Tm 3.54, 6 Sm 3.58
Sm 0.3634 0.3634 0.9099  6 Tm 3.54, 6 Sm 3.58
Dy 0.5461 0.5461 0.3618  6 Sm 3.57-3.58, 6 Dy 3.58
Dy 0.4539 0.4539 0.6382  6 Sm 3.57-3.58, 6 Dy 3.58
Tm 0.0000 0.0000 0.0000  6 Sm 3.54, 6 Tm 3.58
Tm 0.7267 0.7267 0.8198  6 Sm 3.54, 6 Tm 3.58
Tm 0.2733 0.2733 0.1802  6 Sm 3.54, 6 Tm 3.58



DFT (PBE) results for an optimized crystal structure of Tb2Nd2Sm4Mg.

## Properties
- DFT formation energy (eV per formula unit) = 0.803
- calculated volume (Å³/atom) = 33.3
- raw total energy (eV/cell) = -38.46
- theoretical density (g/cm³) = 6.8

Cell: 7.6077 8.8541 8.5963 Å, 121.09 133.06 89.89°
With the nearest neighbours (Å) after each atom.
Positions (direct):
Tb 0.8237 0.3346 0.1279  1 Mg 3.23, 5 Sm 3.49-3.61, 2 Nd 3.55-3.56
Tb 0.1763 0.6654 0.8721  1 Mg 3.23, 5 Sm 3.49-3.61, 2 Nd 3.55-3.56
Nd 0.3126 0.7950 0.4255  1 Mg 3.25, 4 Sm 3.53-3.63, 2 Tb 3.55-3.56, 1 Nd 3.63
Nd 0.6874 0.2050 0.5745  1 Mg 3.25, 4 Sm 3.53-3.63, 2 Tb 3.55-3.56, 1 Nd 3.63
Sm 0.5954 0.6303 0.8157  1 Mg 3.27, 2 Tb 3.53-3.60, 3 Nd 3.53-3.63, 3 Sm 3.56-3.63
Sm 0.9010 0.8221 0.4949  1 Mg 3.22, 3 Sm 3.43-3.56, 2 Tb 3.49-3.51, 1 Nd 3.55
Sm 0.4046 0.3697 0.1843  1 Mg 3.27, 2 Tb 3.53-3.60, 3 Nd 3.53-3.63, 3 Sm 3.56-3.63
Sm 0.0990 0.1779 0.5051  1 Mg 3.22, 3 Sm 3.43-3.56, 2 Tb 3.49-3.51, 1 Nd 3.55
Mg 0.0000 0.0000 0.0000  4 Sm 3.22-3.27, 2 Tb 3.23, 2 Nd 3.25